La2Cl: single point on PBEsol structure, SCAN.

Lattice parameters (Å, degrees): 3.755 6.509 7.148 90.00 90.00 90.00
Fractional positions:
La (0.500, 0.305, 0.145)
La (0.000, 0.805, 0.355)
Cl (0.500, 0.500, 0.500)
La (0.000, 0.195, 0.645)
La (0.500, 0.695, 0.855)
Cl (0.000, 0.000, 0.000)

Values from the calculation:
Energy = -32.556 eV/atom
Fermi-level density of states = 2.78 states/eV/f.u.
Calculated volume = 29.12 A^3/atom
Polymorph energy (0 for the lowest one) = 0.016 eV per atom
Mass density = 5.955 Mg/m³
Spin magnetization = 0.6 μB per formula unit



RbAs2Os: single point on PBEsol structure, SCAN.

Lattice parameters (Å, degrees): 6.992 6.992 6.992 92.89 118.34 118.34
Fractional positions:
As (0.867, 0.992, 0.625)
Rb (0.500, 0.250, 0.750)
Os (0.000, 0.000, 0.000)
Os (0.500, 0.750, 0.250)
As (0.133, 0.758, 0.125)
Rb (0.000, 0.500, 0.500)
As (0.633, 0.875, 0.008)
As (0.367, 0.375, 0.242)

Values from the calculation:
Energy = -33.298 eV/atom
Fermi-level density of states = 1.91 states/eV/f.u.
Calculated volume = 30.93 A^3/atom
Mass density = 5.712 Mg/m³
E_form = -0.05 eV per atom
Spin magnetization = 0.0 μB per formula unit



Sr2AlIn: single point on PBEsol structure, SCAN.

Lattice parameters (Å, degrees): 3.947 3.947 7.874 90.00 90.00 90.00
Fractional positions:
Al (0.500, 0.500, 0.500)
Sr (0.000, 0.000, 0.742)
In (0.500, 0.500, 0.000)
Sr (0.000, 0.000, 0.258)

Values from the calculation:
Energy = -21.749 eV/atom
Fermi-level density of states = 2.49 states/eV/f.u.
Calculated volume = 30.67 A^3/atom
Polymorph energy (0 for the lowest one) = 0.041 eV per atom
Mass density = 4.291 Mg/m³
E_form = -0.33 eV per atom
Spin magnetization = 0.0 μB per formula unit



KCr2Si: single point on PBEsol structure, SCAN.

Lattice parameters (Å, degrees): 2.856 3.660 7.147 90.00 90.00 90.00
Fractional positions:
Cr (0.000, 0.000, 0.368)
K (0.500, 0.500, 0.000)
Cr (0.000, 0.000, 0.632)
Si (0.500, 0.500, 0.500)

Values from the calculation:
Energy = -13.122 eV/atom
Fermi-level density of states = 3.21 states/eV/f.u.
Calculated volume = 18.67 A^3/atom
Mass density = 3.805 Mg/m³
Spin magnetization = 0.0 μB per formula unit



CdCuOs2S: single point on PBEsol structure, SCAN.

Lattice parameters (Å, degrees): 4.490 4.882 4.882 90.00 90.00 90.00
Fractional positions:
Cd (0.000, 0.000, 0.000)
Os (0.000, 0.000, 0.500)
Os (0.000, 0.500, 0.000)
Cu (0.500, 0.000, 0.000)
S (0.500, 0.500, 0.500)

Values from the calculation:
Energy = -37.065 eV/atom
Fermi-level density of states = 3.95 states/eV/f.u.
Calculated volume = 21.41 A^3/atom
Mass density = 9.130 Mg/m³
Spin magnetization = 3.6 μB per formula unit



ScGaSCl2: single point on PBEsol structure, SCAN.

Lattice parameters (Å, degrees): 4.760 4.760 4.758 90.00 90.00 90.00
Fractional positions:
Cl (0.500, 0.000, 0.000)
Sc (0.500, 0.500, 0.500)
Cl (0.000, 0.500, 0.000)
S (0.000, 0.000, 0.500)
Ga (0.000, 0.000, 0.000)

Values from the calculation:
Energy = -11.898 eV/atom
Fermi-level density of states = 1.25 states/eV/f.u.
Calculated volume = 21.56 A^3/atom
Mass density = 3.353 Mg/m³
Spin magnetization = 1.1 μB per formula unit



Rb4Re6S13: single point on PBEsol structure, SCAN.

Lattice parameters (Å, degrees): 9.617 9.617 13.989 94.58 94.58 119.77
Fractional positions:
S (0.639, 0.256, 0.178)
S (0.273, 0.834, 0.049)
S (0.951, 0.921, 0.052)
Re (0.983, 0.684, 0.020)
Rb (0.298, 0.238, 0.158)
Rb (0.238, 0.298, 0.658)
S (0.834, 0.273, 0.549)
S (0.303, 0.005, 0.649)
Re (0.160, 0.602, 0.924)
S (0.166, 0.727, 0.451)
S (0.307, 0.498, 0.010)
S (0.020, 0.356, 0.813)
S (0.049, 0.079, 0.948)
Re (0.845, 0.425, 0.891)
S (0.644, 0.980, 0.687)
Re (0.155, 0.575, 0.109)
S (0.361, 0.744, 0.822)
S (0.357, 0.643, 0.250)
Rb (0.377, 0.095, 0.880)
S (0.256, 0.639, 0.678)
S (0.995, 0.697, 0.851)
S (0.980, 0.644, 0.187)
Re (0.602, 0.160, 0.424)
Re (0.398, 0.840, 0.576)
Re (0.316, 0.017, 0.480)
S (0.005, 0.303, 0.149)
S (0.502, 0.693, 0.490)
S (0.744, 0.361, 0.322)
Rb (0.905, 0.623, 0.620)
S (0.356, 0.020, 0.313)
Re (0.575, 0.155, 0.609)
S (0.727, 0.166, 0.951)
Re (0.840, 0.398, 0.076)
Rb (0.762, 0.702, 0.342)
Rb (0.623, 0.905, 0.120)
Re (0.684, 0.983, 0.520)
S (0.921, 0.951, 0.552)
S (0.693, 0.502, 0.990)
Re (0.017, 0.316, 0.980)
S (0.498, 0.307, 0.510)
Rb (0.095, 0.377, 0.380)
S (0.697, 0.995, 0.351)
S (0.643, 0.357, 0.750)
S (0.079, 0.049, 0.448)
Rb (0.702, 0.762, 0.842)
Re (0.425, 0.845, 0.391)

Values from the calculation:
Energy = -28.458 eV/atom
Fermi-level density of states = 0.00 states/eV/f.u.
Calculated volume = 24.10 A^3/atom
Mass density = 5.619 Mg/m³
Spin magnetization = 0.0 μB per formula unit



Hg2PBr: single point on PBEsol structure, SCAN.

Lattice parameters (Å, degrees): 6.070 6.070 7.694 113.23 113.23 90.00
Fractional positions:
Hg (0.791, 0.375, 0.250)
P (0.750, 0.250, 0.500)
Br (0.250, 0.750, 0.500)
Br (0.000, 0.000, 0.000)
Hg (0.459, 0.875, 0.250)
Hg (0.625, 0.541, 0.750)
Hg (0.125, 0.209, 0.750)
P (0.500, 0.500, 0.000)

Values from the calculation:
Energy = -41.718 eV/atom
Calculated volume = 29.41 A^3/atom
Polymorph energy (0 for the lowest one) = 0.000 eV per atom
Mass density = 7.229 Mg/m³
Spin magnetization = 0.0 μB per formula unit